Entry 1:
First-principles (PBE+U) data for a relaxed K2NiBiO crystal, as listed in Alexandria.

The calculation puts the size of the total moment at 0.917 μB/cell. The value obtained for the density of states at the Fermi level is 4.06 states/eV per cell. The raw total energy is -15.27 eV per formula unit.

The space group is P4/mmm (No. 123) and the conventional cell measures 6.594, 6.594 and 3.461 Å, with angles of 90.00, 90.00 and 90.00 degrees. The asymmetric unit holds K at (0.000, 0.500, 0.000), Ni at (0.000, 0.000, 0.000), Bi at (0.500, 0.500, 0.500) and O at (0.000, 0.000, 0.500).

---

Entry 2:
First-principles (PBE+U) data for a relaxed K2Ni2BiO6 crystal, as listed in Alexandria.

The calculation puts the size of the total moment at 6.000 μB/cell. The value obtained for the density of states at the Fermi level is 8.07 states/eV per cell. The raw total energy is -53.16 eV per formula unit.

The space group is C2/m (No. 12) and the conventional cell measures 5.516, 9.323 and 6.626 Å, with angles of 90.00, 108.47 and 90.00 degrees. The asymmetric unit holds K at (0.000, 0.172, 0.000), Ni at (0.000, 0.333, 0.500), Bi at (0.000, 0.000, 0.500), O at (0.218, 0.500, 0.667) and O at (0.224, 0.174, 0.675).